1.
A plane-wave DFT calculation with PBE was carried out for Ce2ZnP after structural relaxation.

* space-group type: R3m
* DOS at the Fermi energy: 2.3925 states/eV/atom
* E above lowest polymorph: 17.2 meV/atom
* calculated formation energy: -64 kJ per mole of atoms

Unit cell a=3.939 b=3.939 c=23.201 alpha=90.00 beta=90.00 gamma=120.00
Fractional positions:
Ce 0.000 0.000 0.000
Ce 0.000 0.000 0.190
Ce 0.333 0.667 0.667
Ce 0.333 0.667 0.856
Ce 0.667 0.333 0.333
Ce 0.667 0.333 0.523
Zn 0.000 0.000 0.761
Zn 0.333 0.667 0.428
Zn 0.667 0.333 0.095
P 0.000 0.000 0.594
P 0.333 0.667 0.261
P 0.667 0.333 0.928

2.
A plane-wave DFT calculation with PBE was carried out for CeZnP2 after structural relaxation.

* space-group type: R-3m
* E above lowest polymorph: 187.9 meV/atom
* calculated formation energy: -51 kJ per mole of atoms

Unit cell a=4.360 b=4.360 c=21.244 alpha=90.00 beta=90.00 gamma=120.00
Fractional positions:
Ce 0.000 0.000 0.000
Ce 0.333 0.667 0.667
Ce 0.667 0.333 0.333
Zn 0.000 0.000 0.500
Zn 0.333 0.667 0.167
Zn 0.667 0.333 0.833
P 0.000 0.000 0.396
P 0.000 0.000 0.604
P 0.333 0.667 0.062
P 0.333 0.667 0.271
P 0.667 0.333 0.729
P 0.667 0.333 0.938

3.
A plane-wave DFT calculation with PBE was carried out for Ce2ZnP after structural relaxation.

* space-group type: P4/mmm
* DOS at the Fermi energy: 2.4576 states/eV/atom
* E above lowest polymorph: 0.0 meV/atom
* calculated formation energy: -66 kJ per mole of atoms

Unit cell a=3.638 b=3.638 c=6.783 alpha=90.00 beta=90.00 gamma=90.00
Fractional positions:
Ce 0.000 0.000 0.225
Ce 0.000 0.000 0.775
Zn 0.500 0.500 0.500
P 0.500 0.500 0.000

4.
A plane-wave DFT calculation with PBE was carried out for CeZr2P after structural relaxation.

* space-group type: R3m
* DOS at the Fermi energy: 1.6325 states/eV/atom
* E above lowest polymorph: 2.0 meV/atom
* calculated formation energy: -53 kJ per mole of atoms

Unit cell a=3.544 b=3.544 c=25.898 alpha=90.00 beta=90.00 gamma=120.00
Fractional positions:
Ce 0.000 0.000 0.000
Ce 0.333 0.667 0.667
Ce 0.667 0.333 0.333
Zr 0.000 0.000 0.227
Zr 0.000 0.000 0.441
Zr 0.333 0.667 0.107
Zr 0.333 0.667 0.893
Zr 0.667 0.333 0.560
Zr 0.667 0.333 0.774
P 0.000 0.000 0.833
P 0.333 0.667 0.500
P 0.667 0.333 0.167

5.
A plane-wave DFT calculation with PBE was carried out for CeZr2P after structural relaxation.

* space-group type: R-3m
* DOS at the Fermi energy: 1.7488 states/eV/atom
* E above lowest polymorph: 0.0 meV/atom
* calculated formation energy: -53 kJ per mole of atoms

Unit cell a=3.535 b=3.535 c=25.865 alpha=90.00 beta=90.00 gamma=120.00
Fractional positions:
Ce 0.000 0.000 0.000
Ce 0.333 0.667 0.667
Ce 0.667 0.333 0.333
Zr 0.000 0.000 0.228
Zr 0.000 0.000 0.772
Zr 0.333 0.667 0.439
Zr 0.333 0.667 0.894
Zr 0.667 0.333 0.106
Zr 0.667 0.333 0.561
P 0.000 0.000 0.500
P 0.333 0.667 0.167
P 0.667 0.333 0.833

6.
A plane-wave DFT calculation with PBE was carried out for CeZr2P4 after structural relaxation.

* space-group type: Cmcm
* DOS at the Fermi energy: 0.2353 states/eV/atom
* calculated formation energy: -107 kJ per mole of atoms

Unit cell a=6.491 b=6.491 c=12.186 alpha=90.00 beta=90.00 gamma=145.78
Fractional positions:
Ce 0.104 0.896 0.750
Ce 0.896 0.104 0.250
Zr 0.365 0.635 0.555
Zr 0.365 0.635 0.945
Zr 0.635 0.365 0.055
Zr 0.635 0.365 0.445
P 0.000 0.000 0.000
P 0.000 0.000 0.500
P 0.263 0.737 0.135
P 0.263 0.737 0.365
P 0.440 0.560 0.750
P 0.560 0.440 0.250
P 0.737 0.263 0.635
P 0.737 0.263 0.865

Question: calculated formation energy of number 5 (CeZr2P)?
Answer: -53 kJ per mole of atoms